Ca2Tl3Pb4 after structural relaxation, computed with PBE.

The structure in POSCAR format:
```
Ca2Tl3Pb4
1.0
4.6612 0.0000 0.9976
2.0730 5.5342 1.7024
0.1631 0.1961 10.6257
Pb Tl Ca
4 3 2
Direct
0.3279 0.4580 0.8863
0.9883 0.3548 0.6687
0.6721 0.5420 0.1137
0.0117 0.6452 0.3313
0.0000 0.0000 0.0000
0.3341 0.7756 0.5562
0.6659 0.2244 0.4438
0.6567 0.9078 0.7789
0.3433 0.0922 0.2211
```

VASP energy in eV/atom: -3.118
Crystal system: monoclinic
Total moment in μB per cell: 0.000
Formation energy in eV per atom: -0.24

La2InS after structural relaxation, computed with PBE.

The structure in POSCAR format:
```
La2InS
1.0
6.9002 0.0000 0.0000
0.0000 6.9002 0.0000
3.4501 3.4501 6.7638
La In S
4 2 2
Direct
0.8750 0.8270 0.7500
0.1730 0.6250 0.2500
0.5770 0.1250 0.2500
0.3750 0.4230 0.7500
0.7500 0.2500 0.5000
0.0000 0.0000 0.0000
0.2500 0.7500 0.5000
0.5000 0.5000 0.0000
```

Uncorrected formation energy in meV per atom: -715
VASP energy in eV/atom: -4.895
Crystal system: tetragonal
Energy above the lowest structure with this stoichiometry in eV/atom: 0.521
Total moment in μB per cell: 0.000

Which value of VASP energy does entry 1 give?
-3.118 eV/atom

Look up the VASP energy of the second one.
-4.895 eV/atom